Compound: Nd3In3Ag2Pd
Source: OQMD via LeMat-Bulk
Functional: PBE-GGA
Structure: optimized geometry

## Properties
* uncorrected energy: -38.22 eV/cell
* crystal system: hexagonal

abc: 7.8657 7.8657 4.1223
angles: 90.00 90.00 120.00
Positions (direct):
In 0.7512 0.7512 0.0000
In 0.2488 0.0000 0.0000
In 0.0000 0.2488 0.0000
Ag 0.6667 0.3333 0.0000
Ag 0.3333 0.6667 0.0000
Nd 0.0000 0.5936 0.5000
Nd 0.4064 0.4064 0.5000
Nd 0.5936 0.0000 0.5000
Pd 0.0000 0.0000 0.5000